Record 1
# Ca2RePt2 | Alexandria via LeMat-Bulk | PBE | relaxed
# - Formation energy: 35 kJ/mol of atoms
# - Calculated volume: 23.11 Å³/atom
# - E above lowest polymorph: 0.694 eV/atom
data_Ca2RePt2
_chemical_formula_sum 'Ca4 Re2 Pt4'
_space_group_name_H-M_alt 'I 4/m m m'
_space_group_IT_number 139
_space_group_name_Hall '-I 4 2'
_cell_length_a 3.645
_cell_length_b 3.645
_cell_length_c 17.392
_cell_angle_alpha 90.00
_cell_angle_beta 90.00
_cell_angle_gamma 90.00
loop_
_atom_site_label
_atom_site_type_symbol
_atom_site_fract_x
_atom_site_fract_y
_atom_site_fract_z
_atom_site_occupancy
Ca1 Ca 0.000 0.000 0.110 1
Re1 Re 0.000 0.000 0.500 1
Pt1 Pt 0.000 0.500 0.250 1


Record 2
# KHgPb2 | Alexandria via LeMat-Bulk | PBE | relaxed
# - Formation energy: -9 kJ/mol of atoms
# - Calculated volume: 34.19 Å³/atom
data_KHgPb2
_chemical_formula_sum 'K1 Hg1 Pb2'
_space_group_name_H-M_alt 'P 1 2/m 1'
_space_group_IT_number 10
_cell_length_a 3.746
_cell_length_b 5.379
_cell_length_c 6.936
_cell_angle_alpha 90.00
_cell_angle_beta 101.90
_cell_angle_gamma 90.00
loop_
_space_group_symop_operation_xyz
'x,y,z'
'-x,-y,-z'
'-x,y,-z'
'x,-y,z'
loop_
_atom_site_label
_atom_site_type_symbol
_atom_site_fract_x
_atom_site_fract_y
_atom_site_fract_z
_atom_site_occupancy
K1 K 0.000 0.000 0.000 1
Hg1 Hg 0.500 0.000 0.500 1
Pb1 Pb 0.321 0.500 0.694 1


Record 3
# K12Rb7Pd | Alexandria via LeMat-Bulk | PBE | relaxed
# - Formation energy: 6 kJ/mol of atoms
# - Calculated volume: 74.54 Å³/atom
data_K12Rb7Pd
_chemical_formula_sum 'K36 Rb21 Pd3'
_space_group_name_H-M_alt 'R -3 m'
_space_group_IT_number 166
_space_group_name_Hall '-R 3 2"'
_cell_length_a 25.0144
_cell_length_b 25.0144
_cell_length_c 8.2531
_cell_angle_alpha 90.00
_cell_angle_beta 90.00
_cell_angle_gamma 120.00
loop_
_atom_site_label
_atom_site_type_symbol
_atom_site_fract_x
_atom_site_fract_y
_atom_site_fract_z
_atom_site_occupancy
K1 K 0.0000 0.4092 0.0000 1
K2 K 0.0950 0.5475 0.5129 1
Rb1 Rb 0.0000 0.0000 0.0000 1
Rb2 Rb 0.0731 0.1462 0.3325 1
Pd1 Pd 0.0000 0.0000 0.5000 1


Record 4
# DyMgGa2Ni2 | Alexandria via LeMat-Bulk | PBE | relaxed
# - Formation energy: -47 kJ/mol of atoms
# - Calculated volume: 16.86 Å³/atom
data_DyMgGa2Ni2
_chemical_formula_sum 'Dy1 Mg1 Ga2 Ni2'
_space_group_name_H-M_alt 'P -3 m 1'
_space_group_IT_number 164
_space_group_name_Hall '-P 3 2"'
_cell_length_a 4.2276
_cell_length_b 4.2276
_cell_length_c 6.5355
_cell_angle_alpha 90.00
_cell_angle_beta 90.00
_cell_angle_gamma 120.00
loop_
_atom_site_label
_atom_site_type_symbol
_atom_site_fract_x
_atom_site_fract_y
_atom_site_fract_z
_atom_site_occupancy
Dy1 Dy 0.0000 0.0000 0.0000 1
Mg1 Mg 0.0000 0.0000 0.5000 1
Ga1 Ga 0.3333 0.6667 0.2877 1
Ni1 Ni 0.3333 0.6667 0.6990 1


| no. | total magnetization (Bohr magnetons per cell) |
| --- | --- |
| 1 | 4.07 |
| 2 | 0.00 |
| 3 | 0.00 |
| 4 | 0.00 |